(1)
Density functional theory data (GGA-PBE) for crystalline CsSn2Ir2 at its relaxed geometry.

```
5
Lattice="-3.862 1.588 -2.282 -2.733 -2.885 2.618 -3.880 3.274 3.882" Properties=species:S:1:pos:R:3 pbc="T T T"
Sn -4.955 -0.130 3.334
Ir -7.042 1.710 3.183
Sn -5.520 2.107 0.884
Ir -3.434 0.267 1.035
Cs 0.000 0.000 0.000
```

## Properties
For the formation energy from the elements, the calculation gives 120 meV per atom. The energy above the lowest structure with this stoichiometry comes out at 0.217 eV/atom.

***

(2)
Density functional theory data (GGA-PBE) for crystalline Zn4TeO3 at its relaxed geometry.

```
8
Lattice="3.632 -5.111 0.000 3.632 5.111 0.000 0.000 0.000 3.444" Properties=species:S:1:pos:R:3 pbc="T T T"
Te 3.632 -1.367 1.722
O 1.812 1.282 0.000
O 5.453 1.282 0.000
Zn 3.632 0.511 0.000
Zn 2.127 2.374 1.722
Zn 5.138 2.374 1.722
O 3.632 3.819 1.722
Zn 3.632 5.058 0.000
```

## Properties
The formation energy from raw total energies comes out at -0.913 eV/atom.

***

(3)
Density functional theory data (GGA-PBE) for crystalline Zr6Bi2B at its relaxed geometry.

```
18
Lattice="5.963 0.000 0.000 0.000 5.963 0.000 0.000 0.000 13.504" Properties=species:S:1:pos:R:3 pbc="T T T"
Bi 2.982 2.982 10.867
Zr 4.826 1.138 11.939
Zr 4.119 4.119 5.187
Zr 1.844 1.844 8.317
Zr 4.244 4.244 0.000
Zr 4.826 1.138 1.565
Zr 1.844 1.844 5.187
Bi 0.000 0.000 4.115
Zr 4.119 4.119 8.317
Bi 2.982 2.982 2.637
Zr 4.701 1.263 6.752
Zr 1.138 4.826 1.565
B 2.982 2.982 6.752
Bi 0.000 0.000 9.389
B 0.000 0.000 0.000
Zr 1.719 1.719 0.000
Zr 1.263 4.701 6.752
Zr 1.138 4.826 11.939
```

## Properties
For the formation energy from the elements, the calculation gives 108 meV per atom.

***

(4)
Density functional theory data (GGA-PBE) for crystalline ZnO at its relaxed geometry.

```
4
Lattice="-1.316 0.801 -2.907 1.490 -2.908 0.386 -6.031 -2.831 1.951" Properties=species:S:1:pos:R:3 pbc="T T T"
O -2.122 -2.928 0.154
Zn -5.690 -2.671 1.840
Zn -2.674 -1.256 0.865
O -6.073 -3.107 0.032
```

## Properties
The formation energy from raw total energies comes out at -1.205 eV/atom.

***

(5)
Density functional theory data (GGA-PBE) for crystalline Tb9Nd2Sm at its relaxed geometry.

```
12
Lattice="-0.642 -1.057 3.290 -9.791 -4.621 -3.397 9.527 -6.164 -0.121" Properties=species:S:1:pos:R:3 pbc="T T T"
Tb 1.167 -8.629 -0.668
Sm 0.000 0.000 0.000
Tb 4.763 -3.082 -0.060
Tb 5.839 -6.423 0.953
Tb -4.895 -2.311 -1.698
Tb -2.199 -8.360 -1.239
Nd 3.087 -5.649 -1.213
Tb -0.132 -5.392 -1.759
Nd -3.352 -5.135 -2.305
Tb 1.293 -3.482 1.011
Tb -2.073 -3.213 0.440
Tb -6.746 -5.419 -1.181
```

## Properties
For the formation energy from the elements, the calculation gives 57 meV per atom. The energy above the lowest structure with this stoichiometry comes out at 0.039 eV/atom.

***

(6)
Density functional theory data (GGA-PBE) for crystalline Tm6BeSe4 at its relaxed geometry.

```
22
Lattice="-0.413 -2.969 7.387 0.206 -7.349 -3.082 7.953 -0.139 0.528" Properties=species:S:1:pos:R:3 pbc="T T T"
Tm 5.136 -3.406 7.146
Tm 6.352 -5.464 1.910
Se 1.859 -2.062 2.528
Tm 0.267 -2.462 4.991
Tm 4.188 -6.647 4.501
Se 5.888 -8.395 2.305
Se 1.011 -5.345 -0.011
Tm 7.284 -7.992 5.247
Tm 1.394 -4.993 2.923
Se 1.833 -7.773 3.360
Tm 2.610 -7.050 -2.313
Be 0.000 0.000 0.000
Tm 3.558 -3.809 0.332
Se 6.735 -5.112 4.844
Tm 4.329 -3.143 3.795
Se 2.681 -4.490 5.899
Tm 3.417 -7.314 1.038
Tm 0.462 -2.464 -0.414
Be 3.873 -5.228 2.416
Se 5.913 -2.684 1.472
Tm 7.479 -7.994 -0.158
Se 5.065 -5.966 -1.067
```

## Properties
The formation energy from raw total energies comes out at -0.927 eV/atom.